Record 1
# Cu2MoPb

An optimized crystal structure of Cu2MoPb (GGA-PBE, Alexandria via LeMat-Bulk).

Summary:
Density of states at the Fermi level, states/eV/atom: 0.473
ΔH_f (0 K), eV/atom: 0.451

a b c (Å): 4.0454 4.0375 3.9297
angles (deg): 90.00 90.00 90.00
Site moments in Bohr magnetons follow the coordinates.
Atoms (fractional coordinates):
Mo: 0.5000 0.0000 0.5000  0.19
Cu: 0.5000 0.5000 0.0000  0.00
Cu: 0.0000 0.0000 0.0000  0.00
Pb: 0.0000 0.5000 0.5000  0.00

***

Record 2
# Ho4PtPbSe2

An optimized crystal structure of Ho4PtPbSe2 (GGA-PBE, Alexandria via LeMat-Bulk).

Summary:
Density of states at the Fermi level, states/eV/atom: 0.514
Formation energy without anion corrections, eV/atom: -1.246

a b c (Å): 4.0185 7.6277 7.0903
angles (deg): 71.87 90.00 90.00
Atoms (fractional coordinates):
Se: 0.5000 0.0000 0.5000
Se: 0.0000 0.0000 0.0000
Pb: 0.5000 0.5000 0.0000
Ho: 0.5000 0.2606 0.7246
Ho: 0.0000 0.2375 0.2678
Ho: 0.0000 0.7625 0.7322
Ho: 0.5000 0.7394 0.2754
Pt: 0.0000 0.5000 0.5000

***

Record 3
# Tm2FeN

An optimized crystal structure of Tm2FeN (GGA-PBE, Alexandria via LeMat-Bulk).

Summary:
Density of states at the Fermi level, states/eV/atom: 0.827
Formation energy without anion corrections, eV/atom: -0.329

a b c (Å): 3.2765 3.2765 8.3234
angles (deg): 78.65 78.65 60.00
Site moments in Bohr magnetons follow the coordinates.
Atoms (fractional coordinates):
Tm: 0.1109 0.1109 0.6673  -0.22
Tm: 0.8891 0.8891 0.3327  -0.22
N: 0.5000 0.5000 0.5000  0.00
Fe: 0.0000 0.0000 0.0000  2.75

***

Record 4
# Rb3Pt2Pb2

An optimized crystal structure of Rb3Pt2Pb2 (GGA-PBE, Alexandria via LeMat-Bulk).

Summary:
Density of states at the Fermi level, states/eV/atom: 0.629
ΔH_f (0 K), eV/atom: -0.169

a b c (Å): 7.2474 9.1047 14.7256
angles (deg): 90.00 90.00 90.00
Atoms (fractional coordinates):
Rb: 0.8663 0.1062 0.4053
Rb: 0.1337 0.8938 0.9053
Rb: 0.8663 0.3938 0.5947
Rb: 0.3264 0.1982 0.7500
Rb: 0.6736 0.8018 0.2500
Rb: 0.1337 0.8938 0.5947
Rb: 0.3264 0.3018 0.2500
Rb: 0.6736 0.6982 0.7500
Rb: 0.1337 0.6062 0.4053
Rb: 0.1337 0.6062 0.0947
Rb: 0.8663 0.1062 0.0947
Rb: 0.8663 0.3938 0.9053
Pt: 0.6138 0.0224 0.5898
Pt: 0.6138 0.4776 0.4102
Pt: 0.6138 0.4776 0.0898
Pt: 0.3862 0.5224 0.9102
Pt: 0.3862 0.9776 0.4102
Pt: 0.6138 0.0224 0.9102
Pt: 0.3862 0.5224 0.5898
Pt: 0.3862 0.9776 0.0898
Pb: 0.5796 0.7500 0.0000
Pb: 0.7896 0.0766 0.7500
Pb: 0.4204 0.2500 0.5000
Pb: 0.7896 0.4234 0.2500
Pb: 0.2104 0.9234 0.2500
Pb: 0.4204 0.2500 0.0000
Pb: 0.2104 0.5766 0.7500
Pb: 0.5796 0.7500 0.5000

***

Record 5
# TbSm2Tm9

An optimized crystal structure of TbSm2Tm9 (GGA-PBE, Alexandria via LeMat-Bulk).

Summary:
Offset from the most stable computed form, meV/atom: 0
Density of states at the Fermi level, states/eV/atom: 1.402
ΔH_f (0 K), eV/atom: 0.026

a b c (Å): 4.9729 4.9729 14.9168
angles (deg): 90.00 90.00 90.00
Atoms (fractional coordinates):
Tm: 0.5000 0.5000 0.0000
Tm: 0.5000 0.0000 0.1656
Tm: 0.0000 0.5000 0.5000
Tm: 0.0000 0.5000 0.1656
Tm: 0.5000 0.0000 0.5000
Tm: 0.5000 0.5000 0.6673
Tm: 0.5000 0.5000 0.3327
Tm: 0.5000 0.0000 0.8344
Tm: 0.0000 0.5000 0.8344
Sm: 0.0000 0.0000 0.3331
Sm: 0.0000 0.0000 0.6669
Tb: 0.0000 0.0000 0.0000

***

Record 6
# Ba4AcMg5

An optimized crystal structure of Ba4AcMg5 (GGA-PBE, Alexandria via LeMat-Bulk).

Summary:
Density of states at the Fermi level, states/eV/atom: 0.693
ΔH_f (0 K), eV/atom: -0.059

a b c (Å): 4.2914 4.2914 21.7602
angles (deg): 90.00 90.00 90.00
Atoms (fractional coordinates):
Ac: 0.0000 0.0000 0.0000
Mg: 0.5000 0.5000 0.0876
Mg: 0.5000 0.5000 0.5000
Mg: 0.5000 0.5000 0.2957
Mg: 0.5000 0.5000 0.7043
Mg: 0.5000 0.5000 0.9124
Ba: 0.0000 0.0000 0.1924
Ba: 0.0000 0.0000 0.3975
Ba: 0.0000 0.0000 0.6025
Ba: 0.0000 0.0000 0.8076

***

Record 7
# DyCo2GeN

An optimized crystal structure of DyCo2GeN (GGA-PBE, Alexandria via LeMat-Bulk).

Summary:
Density of states at the Fermi level, states/eV/atom: 0.739
Formation energy without anion corrections, eV/atom: -0.723

a b c (Å): 3.5717 5.7857 6.8664
angles (deg): 90.00 90.00 107.98
Site moments in Bohr magnetons follow the coordinates.
Atoms (fractional coordinates):
Co: 0.8399 0.6799 0.4484  0.48
Co: 0.8399 0.6799 0.0516  0.48
Co: 0.1601 0.3201 0.9484  0.48
Co: 0.1601 0.3201 0.5516  0.48
Ge: 0.7330 0.4660 0.7500  -0.03
Ge: 0.2670 0.5340 0.2500  -0.03
Dy: 0.5394 0.0787 0.2500  0.01
Dy: 0.4606 0.9213 0.7500  0.01
N: 0.0000 0.0000 0.5000  0.09
N: 0.0000 0.0000 0.0000  0.09

***

Record 8
# Mg2ScNi

An optimized crystal structure of Mg2ScNi (GGA-PBE, Alexandria via LeMat-Bulk).

Summary:
Density of states at the Fermi level, states/eV/atom: 0.734
ΔH_f (0 K), eV/atom: -0.005

a b c (Å): 4.6341 3.0551 5.4483
angles (deg): 75.91 90.00 90.00
Atoms (fractional coordinates):
Ni: 0.5000 0.2500 0.2500
Sc: 0.5000 0.7500 0.7500
Mg: 0.0000 0.0885 0.0242
Mg: 0.0000 0.4115 0.4758

***

Record 9
# CuSiNO2

An optimized crystal structure of CuSiNO2 (GGA-PBE, Alexandria via LeMat-Bulk).

Summary:
Density of states at the Fermi level, states/eV/atom: 0.833
Formation energy without anion corrections, eV/atom: -0.534

a b c (Å): 3.4938 3.4938 3.6818
angles (deg): 90.00 90.00 90.00
Atoms (fractional coordinates):
O: 0.5000 0.0000 0.0000
O: 0.0000 0.5000 0.0000
Si: 0.0000 0.0000 0.0000
N: 0.0000 0.0000 0.5000
Cu: 0.5000 0.5000 0.5000

***

Record 10
# BaHo2Se4

An optimized crystal structure of BaHo2Se4 (GGA-PBE, Alexandria via LeMat-Bulk).

Summary:
Offset from the most stable computed form, meV/atom: 26
Formation energy without anion corrections, eV/atom: -1.952

a b c (Å): 4.2035 7.1590 14.2571
angles (deg): 90.00 90.00 107.07
Atoms (fractional coordinates):
Se: 0.9332 0.8664 0.7500
Se: 0.2327 0.4654 0.8889
Se: 0.7673 0.5346 0.3889
Se: 0.7673 0.5346 0.1111
Se: 0.0668 0.1336 0.2500
Se: 0.2327 0.4654 0.6111
Se: 0.5000 0.0000 0.5000
Se: 0.5000 0.0000 0.0000
Ho: 0.1348 0.2696 0.0665
Ho: 0.8652 0.7304 0.5665
Ho: 0.1348 0.2696 0.4335
Ho: 0.8652 0.7304 0.9335
Ba: 0.6098 0.2195 0.7500
Ba: 0.3902 0.7805 0.2500

***

Record 11
# ZrAlZnPt

An optimized crystal structure of ZrAlZnPt (GGA-PBE, Alexandria via LeMat-Bulk).

Summary:
Density of states at the Fermi level, states/eV/atom: 0.612
ΔH_f (0 K), eV/atom: -0.687

a b c (Å): 4.5694 4.5694 4.5694
angles (deg): 60.00 60.00 60.00
Atoms (fractional coordinates):
Al: 0.7500 0.7500 0.7500
Zn: 0.0000 0.0000 0.0000
Zr: 0.2500 0.2500 0.2500
Pt: 0.5000 0.5000 0.5000

***

Record 12
# NdHo6Tm3

An optimized crystal structure of NdHo6Tm3 (GGA-PBE, Alexandria via LeMat-Bulk).

Summary:
Offset from the most stable computed form, meV/atom: 0
Density of states at the Fermi level, states/eV/atom: 1.260
ΔH_f (0 K), eV/atom: 0.151

a b c (Å): 6.1668 10.8949 10.8949
angles (deg): 120.25 90.00 90.00
Atoms (fractional coordinates):
Ho: 0.8614 0.4504 0.0306
Ho: 0.3614 0.5496 0.9694
Ho: 0.1416 0.7052 0.2948
Ho: 0.9139 0.0486 0.9514
Ho: 0.8614 0.9694 0.5496
Ho: 0.6416 0.2948 0.7052
Ho: 0.0227 0.3789 0.2880
Ho: 0.5227 0.6211 0.7120
Ho: 0.4139 0.9514 0.0486
Ho: 0.5227 0.2880 0.3789
Ho: 0.0227 0.7120 0.6211
Ho: 0.3614 0.0306 0.4504
Nd: 0.1735 0.2101 0.7899
Nd: 0.6735 0.7899 0.2101
Tm: 0.9522 0.7148 0.9306
Tm: 0.9522 0.0694 0.2852
Tm: 0.4522 0.2852 0.0694
Tm: 0.0837 0.3894 0.6106
Tm: 0.5837 0.6106 0.3894
Tm: 0.4522 0.9306 0.7148

***

Record 13
# La2PmPt2I2

An optimized crystal structure of La2PmPt2I2 (GGA-PBE, Alexandria via LeMat-Bulk).

Summary:
Density of states at the Fermi level, states/eV/atom: 1.100
Formation energy without anion corrections, eV/atom: -0.979

a b c (Å): 5.3808 5.3808 9.1646
angles (deg): 107.07 107.07 90.00
Atoms (fractional coordinates):
Pt: 0.0000 0.5000 0.0000
Pt: 0.5000 0.0000 0.0000
I: 0.8050 0.8050 0.6100
I: 0.1950 0.1950 0.3900
Pm: 0.0000 0.0000 0.0000
La: 0.3958 0.3958 0.7917
La: 0.6042 0.6042 0.2083

***

Record 14
# Ac6Co2CCl3

An optimized crystal structure of Ac6Co2CCl3 (GGA-PBE, Alexandria via LeMat-Bulk).

Summary:
Density of states at the Fermi level, states/eV/atom: 0.440
Formation energy without anion corrections, eV/atom: -0.818

a b c (Å): 4.1346 9.2382 10.1370
angles (deg): 110.06 101.77 90.00
Atoms (fractional coordinates):
Cl: 0.5000 0.5000 0.0000
Cl: 0.8373 0.1650 0.6746
Cl: 0.1627 0.8350 0.3254
C: 0.5000 0.0000 0.0000
Ac: 0.3214 0.4455 0.6429
Ac: 0.3513 0.8933 0.7026
Ac: 0.6786 0.5545 0.3571
Ac: 0.6487 0.1067 0.2974
Ac: 0.0112 0.2164 0.0224
Ac: 0.9888 0.7836 0.9776
Co: 0.8361 0.6703 0.6722
Co: 0.1639 0.3297 0.3278

***

Record 15
# InSbPb

An optimized crystal structure of InSbPb (GGA-PBE, Alexandria via LeMat-Bulk).

Summary:
Offset from the most stable computed form, meV/atom: 2
Density of states at the Fermi level, states/eV/atom: 0.373
Formation energy without anion corrections, eV/atom: 0.016

a b c (Å): 4.5129 6.6314 6.6232
angles (deg): 90.00 111.99 90.00
Atoms (fractional coordinates):
Sb: 0.3537 0.7500 0.2239
Sb: 0.6463 0.2500 0.7761
In: 0.0000 0.0000 0.5000
In: 0.0000 0.5000 0.5000
Pb: 0.6553 0.7500 0.8679
Pb: 0.3447 0.2500 0.1321

***

Record 16
# Tm6CuSe5

An optimized crystal structure of Tm6CuSe5 (GGA-PBE, Alexandria via LeMat-Bulk).

Summary:
Density of states at the Fermi level, states/eV/atom: 0.330
Formation energy without anion corrections, eV/atom: -1.470

a b c (Å): 6.9812 6.9812 6.9820
angles (deg): 99.61 99.61 119.83
Atoms (fractional coordinates):
Cu: 0.0000 0.0000 0.0000
Tm: 0.7658 0.7658 0.2410
Tm: 0.0780 0.3933 0.2361
Tm: 0.2342 0.2342 0.7590
Tm: 0.3933 0.0780 0.2361
Tm: 0.6067 0.9220 0.7639
Tm: 0.9220 0.6067 0.7639
Se: 0.3352 0.6648 0.0000
Se: 0.5000 0.5000 0.5000
Se: 0.1760 0.8240 0.5000
Se: 0.8240 0.1760 0.5000
Se: 0.6648 0.3352 0.0000

***

Record 17
# NaHoTe2O6

An optimized crystal structure of NaHoTe2O6 (GGA-PBE, Alexandria via LeMat-Bulk).

Summary:
Density of states at the Fermi level, states/eV/atom: 0.000
Formation energy without anion corrections, eV/atom: -1.781

a b c (Å): 6.3901 7.0427 7.0427
angles (deg): 100.43 84.25 84.25
Atoms (fractional coordinates):
O: 0.1880 0.6015 0.0185
O: 0.6880 0.0185 0.6015
O: 0.5462 0.4469 0.6923
O: 0.3996 0.1965 0.0350
O: 0.0462 0.6923 0.4469
O: 0.1004 0.9650 0.8035
O: 0.8120 0.3985 0.9815
O: 0.9538 0.3077 0.5531
O: 0.6004 0.8035 0.9650
O: 0.3120 0.9815 0.3985
O: 0.4538 0.5531 0.3077
O: 0.8996 0.0350 0.1965
Te: 0.7252 0.2024 0.4361
Te: 0.7748 0.5639 0.7976
Te: 0.2748 0.7976 0.5639
Te: 0.2252 0.4361 0.2024
Ho: 0.7500 0.0870 0.9130
Ho: 0.2500 0.9130 0.0870
Na: 0.7500 0.7278 0.2722
Na: 0.2500 0.2722 0.7278

***

Record 18
# Ac5Os2O12

An optimized crystal structure of Ac5Os2O12 (GGA-PBE, Alexandria via LeMat-Bulk).

Summary:
Density of states at the Fermi level, states/eV/atom: 0.092
Formation energy without anion corrections, eV/atom: -2.593

a b c (Å): 6.2338 7.3900 8.0926
angles (deg): 105.70 90.00 114.95
Site moments in Bohr magnetons follow the coordinates.
Atoms (fractional coordinates):
Ac: 0.6892 0.3783 0.3550  0.01
Ac: 0.3108 0.6217 0.6450  0.01
Ac: 0.3090 0.6181 0.1653  0.03
Ac: 0.6910 0.3819 0.8347  0.03
Ac: 0.0000 0.0000 0.5000  0.00
O: 0.0986 0.6911 0.9245  0.15
O: 0.4051 0.3111 0.5796  0.01
O: 0.0008 0.0015 0.1758  0.13
O: 0.9060 0.3111 0.5796  0.01
O: 0.0940 0.6889 0.4204  0.01
O: 0.9992 0.9985 0.8242  0.13
O: 0.4075 0.3089 0.0755  0.15
O: 0.5008 0.0015 0.8407  0.07
O: 0.5925 0.6911 0.9245  0.15
O: 0.4992 0.9985 0.1593  0.07
O: 0.5949 0.6889 0.4204  0.01
O: 0.9014 0.3089 0.0755  0.15
Os: 0.7644 0.0000 0.0000  1.74
Os: 0.2356 0.0000 0.0000  1.74

***

Record 19
# TcNi2Cl

An optimized crystal structure of TcNi2Cl (GGA-PBE, Alexandria via LeMat-Bulk).

Summary:
Offset from the most stable computed form, meV/atom: 108
Density of states at the Fermi level, states/eV/atom: 0.943
Formation energy without anion corrections, eV/atom: 0.299

a b c (Å): 4.1936 4.1936 6.2400
angles (deg): 85.90 85.90 38.78
Atoms (fractional coordinates):
Tc: 0.5365 0.5365 0.5846
Cl: 0.0888 0.0888 0.2665
Ni: 0.0726 0.0726 0.9130
Ni: 0.8021 0.8021 0.7359

***

Record 20
# V2GeHIr

An optimized crystal structure of V2GeHIr (GGA-PBE, Alexandria via LeMat-Bulk).

Summary:
Offset from the most stable computed form, meV/atom: 83
Density of states at the Fermi level, states/eV/atom: 0.882

a b c (Å): 3.6716 4.3237 3.6716
angles (deg): 90.00 90.00 90.00
Atoms (fractional coordinates):
V: 0.0000 0.0000 0.5000
V: 0.5000 0.0000 0.0000
Ge: 0.0000 0.5000 0.0000
H: 0.0000 0.0000 0.0000
Ir: 0.5000 0.5000 0.5000

***

Record 21
# Li2TlBr

An optimized crystal structure of Li2TlBr (GGA-PBE, Alexandria via LeMat-Bulk).

Summary:
Offset from the most stable computed form, meV/atom: 148
Density of states at the Fermi level, states/eV/atom: 0.304
Formation energy without anion corrections, eV/atom: -0.578

a b c (Å): 6.9487 6.9487 6.9487
angles (deg): 147.52 147.52 46.59
Atoms (fractional coordinates):
Tl: 0.5000 0.5000 0.0000
Li: 0.0000 0.0000 0.0000
Li: 0.2500 0.7500 0.5000
Br: 0.7500 0.2500 0.5000

***

Record 22
# Ga2SnIrI

An optimized crystal structure of Ga2SnIrI (GGA-PBE, Alexandria via LeMat-Bulk).

Summary:
Offset from the most stable computed form, meV/atom: 0
Density of states at the Fermi level, states/eV/atom: 0.153
Formation energy without anion corrections, eV/atom: -0.350

a b c (Å): 4.9456 4.9456 5.1966
angles (deg): 90.00 90.00 90.00
Atoms (fractional coordinates):
Sn: 0.0000 0.0000 0.5000
Ga: 0.0000 0.5000 0.0000
Ga: 0.5000 0.0000 0.0000
Ir: 0.0000 0.0000 0.0000
I: 0.5000 0.5000 0.5000

***

Total energy, record by record: -20.93; -45.00; -27.05; -94.34; -54.00; -20.36; -70.74; -15.32; -30.43; -77.36; -22.35; -88.27; -36.64; -63.44; -21.04; -65.99; -119.48; -151.77; -22.58; -35.73; -10.18; -22.22 eV per cell
Ρ, record by record: 11.13; 9.81; 8.98; 7.25; 8.91; 3.72; 9.03; 3.38; 5.09; 6.34; 9.32; 8.62; 7.34; 7.48; 8.02; 8.78; 5.82; 8.79; 6.08; 10.48; 5.14; 7.54 g/cm³
Magnetic moment, record by record: 0.19; 0.00; 2.27; 0.00; 0.00; 0.00; 1.03; 0.00; 0.00; 0.00; 0.00; 0.00; 0.00; 0.00; 0.00; 0.00; 0.00; 5.01; 0.00; 0.00; 0.00; 0.00 μB per formula unit